ErB4Ir2Rh2 | meta-GGA SCAN | single point on PBEsol structure

The energy of formation from the pure elements is -655 meV/atom.

The structure belongs to space group P4_2mc (No. 105); the cell edges are 5.311, 5.311 and 7.359 Å and the angles 90.00°, 90.00° and 90.00°. Symmetry generates all atoms from Er at (0.000, 0.500, 0.000), B at (0.000, 0.170, 0.353), B at (0.327, 0.500, 0.655), Ir at (0.248, 0.500, 0.358) and Rh at (0.000, 0.251, 0.648).